Record 1
# Ni3IrPt3 PBE optimized geometry
data_Ni3IrPt3
_space_group_name_H-M_alt 'P n m a'
_space_group_IT_number 62
_cell_length_a 10.381
_cell_length_b 3.757
_cell_length_c 10.270
_cell_angle_alpha 90.00
_cell_angle_beta 90.00
_cell_angle_gamma 90.00
loop_
_space_group_symop_operation_xyz
'x,y,z'
'-x,-y,-z'
'-x+1/2,-y,z+1/2'
'x+1/2,y,-z+1/2'
'x+1/2,-y+1/2,-z+1/2'
'-x+1/2,y+1/2,z+1/2'
'-x,y+1/2,-z'
'x,-y+1/2,z'
loop_
_atom_site_label
_atom_site_fract_x
_atom_site_fract_y
_atom_site_fract_z
Ni1 0.015 0.250 0.185
Ni2 0.184 0.750 0.547
Ni3 0.224 0.750 0.798
Ir1 0.082 0.250 0.689
Pt1 0.070 0.250 0.426
Pt2 0.097 0.250 0.946
Pt3 0.171 0.750 0.139
# - N(E_F) (states/eV/cell) = 48.27
# - V (Å³ per cell) = 401
# - total moment (μB/cell) = 8.1
# - calculated formation energy (kJ/mol of atoms) = 13.6



Record 2
# Ni6IrPt PBE optimized geometry
data_Ni6IrPt
_space_group_name_H-M_alt 'P 4/m m m'
_space_group_IT_number 123
_space_group_name_Hall '-P 4 2'
_cell_length_a 3.635
_cell_length_b 3.635
_cell_length_c 7.275
_cell_angle_alpha 90.00
_cell_angle_beta 90.00
_cell_angle_gamma 90.00
loop_
_atom_site_label
_atom_site_fract_x
_atom_site_fract_y
_atom_site_fract_z
Ni1 0.000 0.000 0.000
Ni2 0.000 0.000 0.500
Ni3 0.000 0.500 0.246
Ir1 0.500 0.500 0.000
Pt1 0.500 0.500 0.500
# - N(E_F) (states/eV/cell) = 15.73
# - V (Å³ per cell) = 96
# - total moment (μB/cell) = 3.4
# - calculated formation energy (kJ/mol of atoms) = -1.4